CrPbF (GGA+U, relaxed); final energy = -15.73 eV per cell; N(E_F) = 0.88 states/eV/cell; theoretical density = 6.62 g/cm³; symmetry = No. 1
1.0
3.2709 0.0000 0.0000
-1.5624 3.0100 0.0000
-1.6257 -0.9166 7.0886
Cr Pb F
1 1 1
Direct
0.0000 0.0000 0.0000
0.5775 0.7880 0.3616
0.5414 0.2295 0.8585